Record 1
DFT (PBE-GGA) results for an optimized crystal structure of Tl2AsPdS4.

Summary:
- Energy relative to the elements, uncorrected: -9.4 kJ/mol of atoms
- Crystal system: orthorhombic

a b c (Å): 12.4794 11.3279 6.9775
angles (deg): 82.27 64.09 33.64
Atoms (fractional coordinates):
Tl 0.0523 0.0523 0.6977
Tl 0.3023 0.3023 0.9477
Tl 0.6977 0.6977 0.0523
Tl 0.9477 0.9477 0.3023
As 0.3750 0.3750 0.3750
As 0.6250 0.6250 0.6250
Pd 0.1250 0.1250 0.1250
Pd 0.8750 0.8750 0.8750
S 0.0020 0.3405 0.4659
S 0.3084 0.5341 0.6595
S 0.3405 0.0020 0.6916
S 0.4659 0.6916 0.0020
S 0.5341 0.3084 0.9980
S 0.6595 0.9980 0.3084
S 0.6916 0.4659 0.3405
S 0.9980 0.6595 0.5341

=====

Record 2
DFT (PBE-GGA) results for an optimized crystal structure of Sb2As2Pd3.

Summary:
- Energy relative to the elements, uncorrected: -28.0 kJ/mol of atoms
- Crystal system: monoclinic

a b c (Å): 6.5200 6.7366 6.8935
angles (deg): 90.00 106.16 90.00
Atoms (fractional coordinates):
Sb 0.1554 0.1527 0.3774
Sb 0.1554 0.3473 0.8774
Sb 0.8446 0.6527 0.1226
Sb 0.8446 0.8473 0.6226
As 0.3749 0.6524 0.6071
As 0.3749 0.8476 0.1071
As 0.6251 0.1524 0.8929
As 0.6251 0.3476 0.3929
Pd 0.0000 0.0000 0.0000
Pd 0.0000 0.5000 0.5000
Pd 0.2759 0.5320 0.2385
Pd 0.2759 0.9680 0.7385
Pd 0.7241 0.0320 0.2615
Pd 0.7241 0.4680 0.7615

=====

Record 3
DFT (PBE-GGA) results for an optimized crystal structure of SbAs2Pd6.

Summary:
- Energy relative to the elements, uncorrected: -29.5 kJ/mol of atoms
- Energy relative to the lowest polymorph listed for this composition: 0.000 eV/atom
- Crystal system: monoclinic

a b c (Å): 6.1276 6.1276 8.1039
angles (deg): 104.38 104.38 30.67
Atoms (fractional coordinates):
Sb 0.0000 0.0000 0.0000
As 0.3562 0.3562 0.4271
As 0.6438 0.6438 0.5729
Pd 0.0143 0.0143 0.3343
Pd 0.3085 0.3085 0.7399
Pd 0.3403 0.3403 0.1034
Pd 0.6597 0.6597 0.8966
Pd 0.6915 0.6915 0.2601
Pd 0.9857 0.9857 0.6657